GdNi2Pt | Alexandria via LeMat-Bulk | PBE-GGA | relaxed; crystal system = tetragonal; E = -8.4202 eV/atom; formation energy = -499 meV per atom
1.0
3.835 0.000 0.000
0.000 4.051 0.000
0.000 0.000 4.051
Pt Gd Ni
1 1 2
direct
0.500 0.500 0.500
0.500 0.000 0.000
0.000 0.000 0.500
0.000 0.500 0.000